Arrangement P

Material: SbTe2RuSe
Method: DFT, PBE-GGA
State: optimized geometry

Geometry as POSCAR:
```
SbTe2RuSe
1.0
5.188 0.000 0.000
0.000 5.188 0.000
0.000 0.000 5.115
Se Ru Te Sb
1 1 2 1
Cartesian
2.594 2.594 2.557 Se
0.000 0.000 0.000 Ru
0.000 2.594 0.000 Te
2.594 0.000 0.000 Te
0.000 0.000 2.557 Sb
```

Output
magnetization	0.00	μB/atom

Arrangement Q

Material: SbTe2RuSe
Method: DFT, PBE-GGA
State: optimized geometry

Geometry as POSCAR:
```
SbTe2RuSe
1.0
5.276 0.000 0.000
0.000 5.276 0.000
0.000 0.000 5.304
Te Ru Se Sb
2 1 1 1
Cartesian
0.000 2.638 0.000 Te
2.638 0.000 0.000 Te
2.638 2.638 2.652 Ru
0.000 0.000 0.000 Se
0.000 0.000 2.652 Sb
```

Output
magnetization	0.41	μB/atom

The calculated energies rank the structures as follows, beginning with the most stable: arrangement P, arrangement Q.

Arrangement P

Material: SiSbRu
Method: DFT, PBE-GGA
State: optimized geometry

Geometry as POSCAR:
```
SiSbRu
1.0
-1.590 -4.321 -4.262
0.631 -5.638 -2.681
-2.038 -1.722 1.431
Sb Si Ru
1 1 1
Cartesian
-1.657 -4.626 -1.522 Sb
-1.360 -6.894 -3.827 Si
-2.017 -1.882 1.268 Ru
```

Output
magnetization	0.00	μB/atom

Arrangement Q

Material: SiSbRu
Method: DFT, PBE-GGA
State: optimized geometry

Geometry as POSCAR:
```
SiSbRu
1.0
4.166 0.000 0.000
-2.083 3.608 0.000
0.000 0.000 3.659
Ru Si Sb
1 1 1
Cartesian
0.000 0.000 3.050 Ru
2.083 1.203 3.049 Si
0.000 2.405 1.220 Sb
```

Output
magnetization	0.00	μB/atom

Arrangement R

Material: SiSbRu
Method: DFT, PBE-GGA
State: optimized geometry

Geometry as POSCAR:
```
SiSbRu
1.0
4.296 0.000 0.000
2.148 3.720 0.000
2.148 1.240 3.508
Ru Sb Si
1 1 1
Cartesian
0.000 0.000 0.000 Ru
4.296 2.480 1.754 Sb
2.148 1.240 0.877 Si
```

Output
magnetization	0.00	μB/atom

The calculated energies rank the structures as follows, beginning with the most stable: arrangement P, arrangement Q, arrangement R.

Arrangement P

Material: Si2SbRu2
Method: DFT, PBE-GGA
State: optimized geometry

Geometry as POSCAR:
```
Si2SbRu2
1.0
3.614 0.000 0.000
0.000 3.614 0.000
1.807 1.807 6.120
Si Ru Sb
2 2 1
Cartesian
1.807 3.614 3.060 Si
3.614 1.807 3.060 Si
1.807 1.807 1.464 Ru
3.614 3.614 4.656 Ru
0.000 0.000 0.000 Sb
```

Output
magnetization	0.00	μB/atom

Arrangement Q

Material: Si2SbRu2
Method: DFT, PBE-GGA
State: optimized geometry

Geometry as POSCAR:
```
Si2SbRu2
1.0
7.280 0.000 0.000
0.000 7.280 0.000
0.000 0.000 2.891
Ru Si Sb
4 4 2
Cartesian
6.180 4.741 0.000 Ru
4.741 1.101 0.000 Ru
1.101 2.539 0.000 Ru
2.539 6.180 0.000 Ru
0.986 4.626 1.446 Si
2.654 0.986 1.446 Si
4.626 6.294 1.446 Si
6.294 2.654 1.446 Si
0.000 0.000 0.000 Sb
3.640 3.640 0.000 Sb
```

Output
magnetization	0.00	μB/atom

The calculated energies rank the structures as follows, beginning with the most stable: arrangement P, arrangement Q.

Arrangement P

Material: SiSb3Ru
Method: DFT, PBE-GGA
State: optimized geometry

Geometry as POSCAR:
```
SiSb3Ru
1.0
-1.237 -4.069 2.738
0.763 -2.949 -4.038
4.845 -0.574 1.335
Si Sb Ru
1 3 1
Cartesian
0.000 0.000 0.000 Si
2.422 -0.287 0.667 Sb
-0.618 -2.035 1.369 Sb
0.382 -1.474 -2.019 Sb
2.186 -3.796 0.017 Ru
```

Output
magnetization	0.27	μB/atom

Arrangement Q

Material: SiSb3Ru
Method: DFT, PBE-GGA
State: optimized geometry

Geometry as POSCAR:
```
SiSb3Ru
1.0
-3.710 3.056 1.696
-3.490 -3.108 -2.035
-0.186 -2.643 4.355
Sb Ru Si
3 1 1
Cartesian
-0.093 -1.321 2.177 Sb
-1.745 -1.554 -1.018 Sb
-1.855 1.528 0.848 Sb
0.000 0.000 0.000 Ru
-3.694 -1.347 2.008 Si
```

Output
magnetization	0.00	μB/atom

The calculated energies rank the structures as follows, beginning with the most stable: arrangement Q, arrangement P.

Arrangement P

Material: SiSb2TeRu
Method: DFT, PBE-GGA
State: optimized geometry

Geometry as POSCAR:
```
SiSb2TeRu
1.0
4.967 0.000 0.000
0.000 4.967 0.000
0.000 0.000 5.644
Sb Ru Si Te
2 1 1 1
Cartesian
2.483 0.000 0.000 Sb
0.000 2.483 0.000 Sb
0.000 0.000 0.000 Ru
2.483 2.483 2.822 Si
0.000 0.000 2.822 Te
```

Output
magnetization	0.00	μB/atom

Arrangement Q

Material: SiSb2TeRu
Method: DFT, PBE-GGA
State: optimized geometry

Geometry as POSCAR:
```
SiSb2TeRu
1.0
5.027 0.000 0.000
0.000 5.027 0.000
0.000 0.000 5.069
Ru Sb Te Si
1 2 1 1
Cartesian
2.513 2.513 2.535 Ru
0.000 2.513 0.000 Sb
2.513 0.000 0.000 Sb
0.000 0.000 2.535 Te
0.000 0.000 0.000 Si
```

Output
magnetization	0.02	μB/atom

The calculated energies rank the structures as follows, beginning with the most stable: arrangement P, arrangement Q.

Arrangement P

Material: Sm4SbRu
Method: DFT, PBE-GGA
State: optimized geometry

Geometry as POSCAR:
```
Sm4SbRu
1.0
5.843 0.000 -2.037
0.000 6.667 0.000
-0.216 0.000 8.924
Sb Sm Ru
2 8 2
Cartesian
1.247 1.667 0.007 Sb
4.381 5.001 6.879 Sb
-0.072 0.001 6.328 Sm
5.700 3.335 0.558 Sm
3.225 1.667 2.503 Sm
3.311 1.667 6.617 Sm
5.700 6.666 0.558 Sm
-0.072 3.333 6.328 Sm
2.317 5.001 0.269 Sm
2.402 5.001 4.383 Sm
4.233 5.001 2.330 Ru
1.395 1.667 4.556 Ru
```

Output
magnetization	0.00	μB/atom

Arrangement Q

Material: Sm4SbRu
Method: DFT, PBE-GGA
State: optimized geometry

Geometry as POSCAR:
```
Sm4SbRu
1.0
6.295 -0.270 0.000
-1.936 8.227 0.000
-2.180 -3.978 6.855
Sm Ru Sb
8 2 2
Cartesian
4.200 5.681 0.932 Sm
-0.941 5.030 4.473 Sm
-1.127 1.838 5.923 Sm
-2.021 -1.703 5.923 Sm
3.121 -1.052 2.382 Sm
2.153 3.061 4.473 Sm
0.027 0.917 2.382 Sm
3.307 2.141 0.932 Sm
-2.542 4.181 6.849 Ru
4.722 -0.203 0.006 Ru
1.574 -0.068 5.113 Sb
0.606 4.046 1.743 Sb
```

Output
magnetization	0.00	μB/atom

The calculated energies rank the structures as follows, beginning with the most stable: arrangement Q, arrangement P.

Arrangement P

Material: Sn3SbRu
Method: DFT, PBE-GGA
State: optimized geometry

Geometry as POSCAR:
```
Sn3SbRu
1.0
-4.040 1.865 2.618
-2.640 -4.323 -0.995
1.833 -2.117 4.337
Sn Sb Ru
3 1 1
Cartesian
-1.320 -2.162 -0.497 Sn
0.916 -1.059 2.168 Sn
-2.020 0.932 1.309 Sn
-2.423 -2.288 2.980 Sb
0.000 0.000 0.000 Ru
```

Output
magnetization	0.00	μB/atom

Arrangement Q

Material: Sn3SbRu
Method: DFT, PBE-GGA
State: optimized geometry

Geometry as POSCAR:
```
Sn3SbRu
1.0
5.609 0.000 0.000
0.000 5.609 0.000
0.000 0.000 5.609
Ru Sn Sb
1 3 1
Cartesian
2.804 2.804 2.804 Ru
0.000 2.804 0.000 Sn
2.804 0.000 0.000 Sn
0.000 0.000 2.804 Sn
0.000 0.000 0.000 Sb
```

Output
magnetization	0.45	μB/atom

The calculated energies rank the structures as follows, beginning with the most stable: arrangement P, arrangement Q.

Arrangement P

Material: SnSb3Ru
Method: DFT, PBE-GGA
State: optimized geometry

Geometry as POSCAR:
```
SnSb3Ru
1.0
-2.984 -4.523 1.193
-0.428 -1.146 -5.412
4.658 -3.002 0.267
Ru Sn Sb
1 1 3
Cartesian
0.623 -4.335 -1.975 Ru
0.000 0.000 0.000 Sn
2.329 -1.501 0.134 Sb
-1.492 -2.261 0.597 Sb
-0.214 -0.573 -2.706 Sb
```

Output
magnetization	0.42	μB/atom

Arrangement Q

Material: SnSb3Ru
Method: DFT, PBE-GGA
State: optimized geometry

Geometry as POSCAR:
```
SnSb3Ru
1.0
5.161 0.000 0.000
0.000 5.161 0.000
0.000 0.000 5.161
Sb Ru Sn
3 1 1
Cartesian
0.000 0.000 2.580 Sb
0.000 2.580 0.000 Sb
2.580 0.000 0.000 Sb
0.000 0.000 0.000 Ru
2.580 2.580 2.580 Sn
```

Output
magnetization	0.00	μB/atom

The calculated energies rank the structures as follows, beginning with the most stable: arrangement Q, arrangement P.

Arrangement P

Material: SnSbRu2
Method: DFT, PBE-GGA
State: optimized geometry

Geometry as POSCAR:
```
SnSbRu2
1.0
0.000 3.257 3.257
3.257 0.000 3.257
3.257 3.257 0.000
Sn Sb Ru
1 1 2
Cartesian
0.000 0.000 0.000 Sn
3.257 3.257 3.257 Sb
1.629 1.629 1.629 Ru
4.886 4.886 4.886 Ru
```

Output
magnetization	0.12	μB/atom

Arrangement Q

Material: SnSbRu2
Method: DFT, PBE-GGA
State: optimized geometry

Geometry as POSCAR:
```
SnSbRu2
1.0
3.188 0.000 0.000
0.000 3.188 0.000
0.000 0.000 6.782
Ru Sn Sb
2 1 1
Cartesian
0.000 0.000 5.119 Ru
0.000 0.000 1.663 Ru
1.594 1.594 3.391 Sn
1.594 1.594 0.000 Sb
```

Output
magnetization	0.00	μB/atom

Arrangement R

Material: SnSbRu2
Method: DFT, PBE-GGA
State: optimized geometry

Geometry as POSCAR:
```
SnSbRu2
1.0
-0.312 2.856 -1.497
-2.360 1.636 3.613
3.941 1.438 1.923
Ru Sb Sn
2 1 1
Cartesian
-1.180 0.818 1.806 Ru
1.971 0.719 0.961 Ru
0.635 2.965 2.019 Sb
-0.156 1.428 -0.749 Sn
```

Output
magnetization	0.15	μB/atom

Arrangement S

Material: SnSbRu2
Method: DFT, PBE-GGA
State: optimized geometry

Geometry as POSCAR:
```
SnSbRu2
1.0
-2.813 -1.544 5.014
-4.505 -2.205 -3.206
-1.030 -7.065 0.781
Ru Sb Sn
4 2 2
Cartesian
-3.407 -3.327 -1.214 Ru
-7.205 -8.593 2.146 Ru
-3.488 -6.690 1.284 Ru
-2.597 -3.017 2.960 Ru
0.000 0.000 0.000 Sb
-3.751 -5.241 3.349 Sb
-3.659 -1.874 0.904 Sn
-4.597 -5.572 -0.761 Sn
```

Output
magnetization	0.00	μB/atom

The calculated energies rank the structures as follows, beginning with the most stable: arrangement Q, arrangement R, arrangement P, arrangement S.

Arrangement P

Material: SrSbRu3
Method: DFT, PBE-GGA
State: optimized geometry

Geometry as POSCAR:
```
SrSbRu3
1.0
4.928 0.000 0.000
0.000 4.928 0.000
0.000 0.000 4.928
Sb Ru Sr
1 3 1
Cartesian
0.000 0.000 0.000 Sb
0.000 0.000 2.464 Ru
0.000 2.464 0.000 Ru
2.464 0.000 0.000 Ru
2.464 2.464 2.464 Sr
```

Output
magnetization	0.56	μB/atom

Arrangement Q

Material: SrSbRu3
Method: DFT, PBE-GGA
State: optimized geometry

Geometry as POSCAR:
```
SrSbRu3
1.0
-1.842 -3.472 -2.944
-1.040 -2.771 3.919
-4.432 2.094 0.304
Sr Ru Sb
1 3 1
Cartesian
0.000 0.000 0.000 Sr
-2.216 1.047 0.152 Ru
-0.921 -1.736 -1.472 Ru
-0.520 -1.386 1.960 Ru
-3.657 -2.075 0.640 Sb
```

Output
magnetization	0.69	μB/atom

The calculated energies rank the structures as follows, beginning with the most stable: arrangement P, arrangement Q.

Arrangement P

Material: SrSb3Ru
Method: DFT, PBE-GGA
State: optimized geometry

Geometry as POSCAR:
```
SrSb3Ru
1.0
-4.136 2.407 3.406
-3.526 0.545 -4.667
-2.228 -5.330 1.061
Ru Sr Sb
1 1 3
Cartesian
-4.945 -1.189 -0.100 Ru
0.000 0.000 0.000 Sr
-1.114 -2.665 0.531 Sb
-2.068 1.203 1.703 Sb
-1.763 0.272 -2.333 Sb
```

Output
magnetization	0.60	μB/atom

Arrangement Q

Material: SrSb3Ru
Method: DFT, PBE-GGA
State: optimized geometry

Geometry as POSCAR:
```
SrSb3Ru
1.0
-3.270 -3.082 -2.735
0.741 -3.874 3.480
-4.053 1.778 2.843
Sb Sr Ru
3 1 1
Cartesian
0.370 -1.937 1.740 Sb
-2.026 0.889 1.421 Sb
-1.635 -1.541 -1.367 Sb
-3.291 -2.589 1.794 Sr
0.000 0.000 0.000 Ru
```

Output
magnetization	0.00	μB/atom

The calculated energies rank the structures as follows, beginning with the most stable: arrangement Q, arrangement P.

Arrangement P

Material: SrSbTe2Ru
Method: DFT, PBE-GGA
State: optimized geometry

Geometry as POSCAR:
```
SrSbTe2Ru
1.0
6.016 0.000 0.000
0.000 6.016 0.000
0.000 0.000 5.996
Te Sb Ru Sr
2 1 1 1
Cartesian
3.008 0.000 0.000 Te
0.000 3.008 0.000 Te
0.000 0.000 2.998 Sb
3.008 3.008 2.998 Ru
0.000 0.000 0.000 Sr
```

Output
magnetization	0.56	μB/atom

Arrangement Q

Material: SrSbTe2Ru
Method: DFT, PBE-GGA
State: optimized geometry

Geometry as POSCAR:
```
SrSbTe2Ru
1.0
-1.150 -1.354 -5.269
-2.656 -4.560 1.751
-4.217 2.557 0.263
Te Ru Sb Sr
2 1 1 1
Cartesian
-1.328 -2.280 0.876 Te
-0.575 -0.677 -2.634 Te
0.000 0.000 0.000 Ru
-2.109 1.278 0.132 Sb
-4.011 -1.679 -1.627 Sr
```

Output
magnetization	0.11	μB/atom

The calculated energies rank the structures as follows, beginning with the most stable: arrangement Q, arrangement P.